## AgIF2 (PBE-GGA)

Data for a relaxed AgIF2 crystal.

Calculated total energy in eV/atom: -2.8901
ΔE_f (raw) in eV/atom: -0.85
Space group: R-3m (166)

Cell: 6.6447 6.6447 6.6447 Å, 36.34 36.34 36.34°
Atoms (fractional coordinates):
I 0.0000 0.0000 0.0000
Ag 0.5000 0.5000 0.5000
F 0.8840 0.8840 0.8840
F 0.1160 0.1160 0.1160